(1)
The following is a GGA-PBE calculation of KVRh3 after structural relaxation, from the Alexandria database.

Values from the calculation:
formation enthalpy at 0 K = 0.5754 eV per atom
total DFT energy (no corrections) = -5.8787 eV/atom
distance to the lowest polymorph of the same formula = 0.000 eV per atom

The structure in CIF format:
```
data_KVRh3
_chemical_formula_sum 'K1 V1 Rh3'
_cell_length_a 4.6289
_cell_length_b 4.6289
_cell_length_c 4.6289
_cell_angle_alpha 90.00
_cell_angle_beta 90.00
_cell_angle_gamma 90.00
_symmetry_space_group_name_H-M 'P 1'
_symmetry_Int_Tables_number 1
loop_
_symmetry_equiv_pos_as_xyz
'x,y,z'
loop_
_atom_site_label
_atom_site_fract_x
_atom_site_fract_y
_atom_site_fract_z
K1 0.5000 0.5000 0.5000
V1 0.0000 0.0000 0.0000
Rh1 0.5000 0.0000 0.0000
Rh2 0.0000 0.0000 0.5000
Rh3 0.0000 0.5000 0.0000
```

(2)
The following is a GGA-PBE calculation of ScRu4Au after structural relaxation, from the Alexandria database.

Values from the calculation:
formation enthalpy at 0 K = 0.1014 eV per atom
total DFT energy (no corrections) = -7.6839 eV/atom

The structure in CIF format:
```
data_ScRu4Au
_chemical_formula_sum 'Sc1 Ru4 Au1'
_cell_length_a 5.1668
_cell_length_b 5.1668
_cell_length_c 5.1668
_cell_angle_alpha 60.00
_cell_angle_beta 60.00
_cell_angle_gamma 60.00
_symmetry_space_group_name_H-M 'P 1'
_symmetry_Int_Tables_number 1
loop_
_symmetry_equiv_pos_as_xyz
'x,y,z'
loop_
_atom_site_label
_atom_site_fract_x
_atom_site_fract_y
_atom_site_fract_z
Au1 0.0000 0.0000 0.0000
Ru1 0.6256 0.1232 0.6256
Sc1 0.2500 0.2500 0.2500
Ru2 0.6256 0.6256 0.6256
Ru3 0.1232 0.6256 0.6256
Ru4 0.6256 0.6256 0.1232
```

(3)
The following is a GGA-PBE calculation of Hg3SbBr after structural relaxation, from the Alexandria database.

Values from the calculation:
total DFT energy (no corrections) = -1.4480 eV/atom
uncorrected formation energy = -0.108 eV/atom
distance to the lowest polymorph of the same formula = 0.013 eV per atom

The structure in CIF format:
```
data_Hg3SbBr
_chemical_formula_sum 'Hg18 Sb6 Br6'
_cell_length_a 11.2740
_cell_length_b 11.2740
_cell_length_c 11.2740
_cell_angle_alpha 108.55
_cell_angle_beta 108.55
_cell_angle_gamma 108.55
_symmetry_space_group_name_H-M 'P 1'
_symmetry_Int_Tables_number 1
loop_
_symmetry_equiv_pos_as_xyz
'x,y,z'
loop_
_atom_site_label
_atom_site_fract_x
_atom_site_fract_y
_atom_site_fract_z
Sb1 0.8741 0.4645 0.5860
Br1 0.9522 0.7016 0.0672
Br2 0.0478 0.2984 0.9328
Br3 0.9328 0.0478 0.2984
Hg1 0.3619 0.6252 0.0724
Sb2 0.5355 0.4140 0.1259
Sb3 0.1259 0.5355 0.4140
Hg2 0.8210 0.0785 0.7110
Br4 0.7016 0.0672 0.9522
Hg3 0.9276 0.6381 0.3748
Hg4 0.6133 0.2543 0.2507
Hg5 0.2507 0.6133 0.2543
Hg6 0.7493 0.3867 0.7457
Sb4 0.5860 0.8741 0.4645
Hg7 0.0785 0.7110 0.8210
Hg8 0.7110 0.8210 0.0785
Hg9 0.6252 0.0724 0.3619
Hg10 0.7457 0.7493 0.3867
Sb5 0.4645 0.5860 0.8741
Hg11 0.2543 0.2507 0.6133
Br5 0.2984 0.9328 0.0478
Hg12 0.2890 0.1790 0.9215
Sb6 0.4140 0.1259 0.5355
Br6 0.0672 0.9522 0.7016
Hg13 0.9215 0.2890 0.1790
Hg14 0.0724 0.3619 0.6252
Hg15 0.3748 0.9276 0.6381
Hg16 0.1790 0.9215 0.2890
Hg17 0.3867 0.7457 0.7493
Hg18 0.6381 0.3748 0.9276
```

(4)
The following is a GGA-PBE calculation of RbSrYI6 after structural relaxation, from the Alexandria database.

Values from the calculation:
total DFT energy (no corrections) = -3.5818 eV/atom
uncorrected formation energy = -1.536 eV/atom

The structure in CIF format:
```
data_RbSrYI6
_chemical_formula_sum 'Rb2 Sr2 Y2 I12'
_cell_length_a 8.2690
_cell_length_b 8.2690
_cell_length_c 15.8267
_cell_angle_alpha 90.00
_cell_angle_beta 90.00
_cell_angle_gamma 120.00
_symmetry_space_group_name_H-M 'P 1'
_symmetry_Int_Tables_number 1
loop_
_symmetry_equiv_pos_as_xyz
'x,y,z'
loop_
_atom_site_label
_atom_site_fract_x
_atom_site_fract_y
_atom_site_fract_z
I1 0.9773 0.6191 0.3635
Sr1 0.3333 0.6667 0.2500
Rb1 0.0000 0.0000 0.5000
I2 0.6418 0.0227 0.3635
I3 0.6191 0.9773 0.8635
Sr2 0.6667 0.3333 0.7500
I4 0.6191 0.6418 0.6365
I5 0.3809 0.0227 0.1365
Y1 0.3333 0.6667 0.7500
I6 0.0227 0.6418 0.8635
Rb2 0.0000 0.0000 0.0000
I7 0.3582 0.9773 0.6365
I8 0.3809 0.3582 0.3635
I9 0.9773 0.3582 0.1365
I10 0.3582 0.3809 0.8635
I11 0.0227 0.3809 0.6365
Y2 0.6667 0.3333 0.2500
I12 0.6418 0.6191 0.1365
```

(5)
The following is a GGA-PBE calculation of HoMg3Pa3N8 after structural relaxation, from the Alexandria database.

Values from the calculation:
total DFT energy (no corrections) = -8.1655 eV/atom
uncorrected formation energy = -1.202 eV/atom

The structure in CIF format:
```
data_HoMg3Pa3N8
_chemical_formula_sum 'Ho1 Mg3 Pa3 N8'
_cell_length_a 6.9759
_cell_length_b 6.9781
_cell_length_c 6.5246
_cell_angle_alpha 122.30
_cell_angle_beta 90.00
_cell_angle_gamma 119.99
_symmetry_space_group_name_H-M 'P 1'
_symmetry_Int_Tables_number 1
loop_
_symmetry_equiv_pos_as_xyz
'x,y,z'
loop_
_atom_site_label
_atom_site_fract_x
_atom_site_fract_y
_atom_site_fract_z
N1 0.2663 0.0253 0.2839
Mg1 0.5000 0.5000 0.0000
N2 0.7507 0.5013 0.7522
Ho1 0.0000 0.0000 0.5000
Pa1 0.5000 0.5000 0.5000
Mg2 0.0000 0.0000 0.0000
N3 0.7590 0.0253 0.2839
N4 0.7337 0.9747 0.7161
Pa2 0.5000 0.0000 0.5000
Pa3 0.0000 0.5000 0.5000
N5 0.7589 0.5177 0.2835
N6 0.2411 0.4823 0.7165
N7 0.2410 0.9747 0.7161
N8 0.2493 0.4987 0.2478
Mg3 0.0000 0.5000 0.0000
```

(6)
The following is a GGA-PBE calculation of CsRe3S4Br2 after structural relaxation, from the Alexandria database.

Values from the calculation:
total DFT energy (no corrections) = -6.6457 eV/atom
uncorrected formation energy = -0.840 eV/atom

The structure in CIF format:
```
data_CsRe3S4Br2
_chemical_formula_sum 'Cs4 Re12 S16 Br8'
_cell_length_a 6.4272
_cell_length_b 9.8101
_cell_length_c 19.2121
_cell_angle_alpha 90.00
_cell_angle_beta 90.00
_cell_angle_gamma 103.84
_symmetry_space_group_name_H-M 'P 1'
_symmetry_Int_Tables_number 1
loop_
_symmetry_equiv_pos_as_xyz
'x,y,z'
loop_
_atom_site_label
_atom_site_fract_x
_atom_site_fract_y
_atom_site_fract_z
S1 0.7206 0.7961 0.4745
Br1 0.5819 0.2600 0.6905
Re1 0.9813 0.1506 0.9429
S2 0.2794 0.2039 0.5255
Re2 0.7074 0.9307 0.9939
Br2 0.0368 0.6424 0.1372
S3 0.2554 0.0207 0.1294
S4 0.2875 0.1091 0.8820
Re3 0.2926 0.0693 0.0061
S5 0.7875 0.6091 0.6180
S6 0.7554 0.5207 0.3706
Re4 0.9635 0.1019 0.0789
Br3 0.0819 0.7600 0.8095
S7 0.7794 0.7039 0.9745
S8 0.2206 0.2961 0.0255
Br4 0.9181 0.2400 0.1905
Re5 0.5187 0.3494 0.4429
S9 0.7125 0.8909 0.1180
Br5 0.4632 0.8576 0.6372
Re6 0.5365 0.3981 0.5789
S10 0.8129 0.3198 0.5156
S11 0.3129 0.8198 0.9844
Re7 0.7926 0.5693 0.4939
Br6 0.9632 0.3576 0.8628
S12 0.6871 0.1802 0.0156
Re8 0.0187 0.8494 0.0571
Re9 0.0365 0.8981 0.9211
Cs1 0.9856 0.9549 0.3105
Re10 0.4813 0.6506 0.5571
Br7 0.5368 0.1424 0.3628
S13 0.1871 0.6802 0.4844
Re11 0.2074 0.4307 0.5061
Br8 0.4181 0.7400 0.3095
S14 0.2125 0.3909 0.3820
S15 0.7446 0.9793 0.8706
Cs2 0.0144 0.0451 0.6895
Cs3 0.4856 0.4549 0.1895
Cs4 0.5144 0.5451 0.8105
Re12 0.4635 0.6019 0.4211
S16 0.2446 0.4793 0.6294
```

(7)
The following is a GGA-PBE calculation of HfScTe2 after structural relaxation, from the Alexandria database.

Values from the calculation:
total DFT energy (no corrections) = -5.9822 eV/atom
uncorrected formation energy = -0.340 eV/atom
distance to the lowest polymorph of the same formula = 0.360 eV per atom

The structure in CIF format:
```
data_HfScTe2
_chemical_formula_sum 'Hf1 Sc1 Te2'
_cell_length_a 9.5266
_cell_length_b 9.5266
_cell_length_c 9.5266
_cell_angle_alpha 23.23
_cell_angle_beta 23.23
_cell_angle_gamma 23.23
_symmetry_space_group_name_H-M 'P 1'
_symmetry_Int_Tables_number 1
loop_
_symmetry_equiv_pos_as_xyz
'x,y,z'
loop_
_atom_site_label
_atom_site_fract_x
_atom_site_fract_y
_atom_site_fract_z
Te1 0.1008 0.1008 0.1008
Hf1 0.0000 0.0000 0.0000
Te2 0.8992 0.8992 0.8992
Sc1 0.5000 0.5000 0.5000
```

(8)
The following is a GGA-PBE calculation of Sr2Rh7Pb12 after structural relaxation, from the Alexandria database.

Values from the calculation:
formation enthalpy at 0 K = -0.1328 eV per atom
total DFT energy (no corrections) = -4.8625 eV/atom

The structure in CIF format:
```
data_Sr2Rh7Pb12
_chemical_formula_sum 'Sr2 Rh7 Pb12'
_cell_length_a 4.4600
_cell_length_b 11.5202
_cell_length_c 11.5202
_cell_angle_alpha 120.00
_cell_angle_beta 90.00
_cell_angle_gamma 90.00
_symmetry_space_group_name_H-M 'P 1'
_symmetry_Int_Tables_number 1
loop_
_symmetry_equiv_pos_as_xyz
'x,y,z'
loop_
_atom_site_label
_atom_site_fract_x
_atom_site_fract_y
_atom_site_fract_z
Rh1 0.2372 0.4009 0.1072
Rh2 0.7628 0.1072 0.7063
Pb1 0.7455 0.5508 0.6229
Rh3 0.2372 0.7063 0.5991
Pb2 0.2545 0.6229 0.0721
Pb3 0.7513 0.8627 0.1204
Pb4 0.7513 0.2576 0.1373
Pb5 0.2545 0.4492 0.3771
Sr1 0.7493 0.6667 0.3333
Pb6 0.2487 0.1204 0.2576
Pb7 0.2487 0.7424 0.8627
Pb8 0.2487 0.1373 0.8796
Rh4 0.7628 0.2937 0.4009
Pb9 0.7455 0.3771 0.9279
Pb10 0.2545 0.9279 0.5508
Pb11 0.7513 0.8796 0.7424
Rh5 0.2372 0.8928 0.2937
Rh6 0.5000 0.0000 0.0000
Pb12 0.7455 0.0721 0.4492
Sr2 0.2507 0.3333 0.6667
Rh7 0.7628 0.5991 0.8928
```

(9)
The following is a GGA-PBE calculation of BaEuMg4 after structural relaxation, from the Alexandria database.

Values from the calculation:
formation enthalpy at 0 K = -0.0880 eV per atom
total DFT energy (no corrections) = -3.1839 eV/atom

The structure in CIF format:
```
data_BaEuMg4
_chemical_formula_sum 'Ba1 Eu1 Mg4'
_cell_length_a 6.4521
_cell_length_b 6.4521
_cell_length_c 6.4521
_cell_angle_alpha 60.00
_cell_angle_beta 60.00
_cell_angle_gamma 60.00
_symmetry_space_group_name_H-M 'P 1'
_symmetry_Int_Tables_number 1
loop_
_symmetry_equiv_pos_as_xyz
'x,y,z'
loop_
_atom_site_label
_atom_site_fract_x
_atom_site_fract_y
_atom_site_fract_z
Mg1 0.1264 0.6245 0.6245
Mg2 0.6245 0.6245 0.6245
Eu1 0.2500 0.2500 0.2500
Ba1 0.0000 0.0000 0.0000
Mg3 0.6245 0.1264 0.6245
Mg4 0.6245 0.6245 0.1264
```

(10)
The following is a GGA-PBE calculation of Na2Al2SnO6 after structural relaxation, from the Alexandria database.

Values from the calculation:
total DFT energy (no corrections) = -6.2574 eV/atom
uncorrected formation energy = -2.269 eV/atom

The structure in CIF format:
```
data_Na2Al2SnO6
_chemical_formula_sum 'Na2 Al2 Sn1 O6'
_cell_length_a 5.1398
_cell_length_b 5.1398
_cell_length_c 5.6822
_cell_angle_alpha 90.00
_cell_angle_beta 90.00
_cell_angle_gamma 120.00
_symmetry_space_group_name_H-M 'P 1'
_symmetry_Int_Tables_number 1
loop_
_symmetry_equiv_pos_as_xyz
'x,y,z'
loop_
_atom_site_label
_atom_site_fract_x
_atom_site_fract_y
_atom_site_fract_z
Al1 0.6667 0.3333 0.0000
Sn1 0.0000 0.0000 0.0000
Al2 0.3333 0.6667 0.0000
O1 0.3558 0.3558 0.8178
Na1 0.3333 0.6667 0.4999
O2 0.6442 0.0000 0.8178
O3 0.3558 0.0000 0.1822
O4 0.0000 0.6442 0.8178
Na2 0.6667 0.3333 0.5001
O5 0.6442 0.6442 0.1822
O6 0.0000 0.3558 0.1822
```

(11)
The following is a GGA-PBE calculation of ErZr2UC4 after structural relaxation, from the Alexandria database.

Values from the calculation:
formation enthalpy at 0 K = -0.5274 eV per atom
total DFT energy (no corrections) = -9.2578 eV/atom

The structure in CIF format:
```
data_ErZr2UC4
_chemical_formula_sum 'Er1 Zr2 U1 C4'
_cell_length_a 3.4221
_cell_length_b 5.9672
_cell_length_c 5.9097
_cell_angle_alpha 71.22
_cell_angle_beta 90.00
_cell_angle_gamma 90.00
_symmetry_space_group_name_H-M 'P 1'
_symmetry_Int_Tables_number 1
loop_
_symmetry_equiv_pos_as_xyz
'x,y,z'
loop_
_atom_site_label
_atom_site_fract_x
_atom_site_fract_y
_atom_site_fract_z
C1 0.0000 0.2441 0.2430
U1 0.5000 0.5000 0.0000
C2 0.5000 0.2477 0.7695
C3 0.0000 0.7559 0.7570
Zr1 0.5000 0.0000 0.5000
Er1 0.0000 0.5000 0.5000
C4 0.5000 0.7523 0.2305
Zr2 0.0000 0.0000 0.0000
```

(12)
The following is a GGA-PBE calculation of YAl3Au after structural relaxation, from the Alexandria database.

Values from the calculation:
formation enthalpy at 0 K = -0.5906 eV per atom
total DFT energy (no corrections) = -4.7844 eV/atom
distance to the lowest polymorph of the same formula = 0.000 eV per atom

The structure in CIF format:
```
data_YAl3Au
_chemical_formula_sum 'Y1 Al3 Au1'
_cell_length_a 4.1891
_cell_length_b 4.1891
_cell_length_c 6.3523
_cell_angle_alpha 70.77
_cell_angle_beta 70.77
_cell_angle_gamma 89.99
_symmetry_space_group_name_H-M 'P 1'
_symmetry_Int_Tables_number 1
loop_
_symmetry_equiv_pos_as_xyz
'x,y,z'
loop_
_atom_site_label
_atom_site_fract_x
_atom_site_fract_y
_atom_site_fract_z
Au1 0.0174 0.8208 0.6706
Al1 0.7980 0.6015 0.1094
Al2 0.1510 0.4541 0.4038
Y1 0.3908 0.1943 0.9236
Al3 0.6506 0.9545 0.4038
```

- What is the formula in the tenth record?
  Na2Al2SnO6